(1)
Compound: LiZn2Mo2
Source: Alexandria
Functional: PBE
Structure: relaxed

a b c (Å): 7.9926 7.9926 2.6572
angles (deg): 90.00 90.00 90.00
Last column: nearest neighbours and their distance in Å.
Space group P4/mbm (No. 127)
One atom of each set of equivalent atoms:
Li: 0.0000 0.0000 0.0000  2 Li 2.66, 4 Zn 2.92
Zn: 0.1845 0.3155 0.0000  2 Zn 2.66, 6 Mo 2.68-2.76, 2 Li 2.92
Mo: 0.1094 0.6094 0.5000  3 Mo 2.47-2.66, 6 Zn 2.68-2.76

---

(2)
Compound: LiZnMo2
Source: Alexandria
Functional: PBE
Structure: relaxed

a b c (Å): 3.6624 3.6624 8.7554
angles (deg): 90.00 90.00 90.00
Last column: nearest neighbours and their distance in Å.
Space group I4/mmm (No. 139)
One atom of each set of equivalent atoms:
Li: 0.0000 0.0000 0.0000  4 Zn 2.59, 8 Mo 2.85
Zn: 0.0000 0.0000 0.5000  4 Li 2.59, 8 Mo 2.85
Mo: 0.0000 0.5000 0.2500  4 Mo 2.59, 4 Li 2.85, 4 Zn 2.85

---

no.,DFT formation energy (eV per formula unit)
1,1.409
2,0.876